Record 1
{"formula": "ThNp2CrN4", "functional": "PBE", "state": "optimized geometry", "sg": "No. 63", "e_tot_ev_per_atom": -10.5960, "formation_energy_uncorrected_ev_per_atom": -1.068, "lattice_angstrom": [[1.675, -5.788, 0.000], [1.675, 5.788, 0.000], [0.000, 0.000, 11.435]], "species": ["Th", "Th", "Np", "Np", "Np", "Np", "Cr", "Cr", "N", "N", "N", "N", "N", "N", "N", "N"], "frac_coords": [[0.103, 0.897, 0.750], [0.897, 0.103, 0.250], [0.368, 0.632, 0.552], [0.368, 0.632, 0.948], [0.632, 0.368, 0.052], [0.632, 0.368, 0.448], [0.158, 0.842, 0.250], [0.842, 0.158, 0.750], [0.000, 0.000, 0.000], [0.000, 0.000, 0.500], [0.271, 0.729, 0.123], [0.271, 0.729, 0.377], [0.445, 0.555, 0.750], [0.555, 0.445, 0.250], [0.729, 0.271, 0.623], [0.729, 0.271, 0.877]]}

***

Record 2
{"formula": "Mg5Be3", "functional": "PBE", "state": "optimized geometry", "sg": "No. 193", "e_tot_ev_per_atom": -2.1043, "e_form_mev_per_atom": 290, "polymorph_energy_ev_per_fu": 0.00, "lattice_angstrom": [[7.652, 0.000, 0.000], [-3.826, 6.627, 0.000], [0.000, 0.000, 5.390]], "species": ["Mg", "Mg", "Mg", "Mg", "Mg", "Mg", "Mg", "Mg", "Mg", "Mg", "Be", "Be", "Be", "Be", "Be", "Be"], "frac_coords": [[0.000, 0.250, 0.250], [0.000, 0.750, 0.750], [0.250, 0.000, 0.250], [0.250, 0.250, 0.750], [0.333, 0.667, 0.000], [0.333, 0.667, 0.500], [0.667, 0.333, 0.000], [0.667, 0.333, 0.500], [0.750, 0.000, 0.750], [0.750, 0.750, 0.250], [0.000, 0.404, 0.750], [0.000, 0.596, 0.250], [0.404, 0.000, 0.750], [0.404, 0.404, 0.250], [0.596, 0.000, 0.250], [0.596, 0.596, 0.750]]}

***

Record 3
{"formula": "Zr4As", "functional": "PBE", "state": "optimized geometry", "sg": "No. 87", "e_tot_ev_per_atom": -8.0769, "e_form_mev_per_atom": -308, "polymorph_energy_ev_per_fu": 0.00, "lattice_angstrom": [[7.954, 0.000, 0.000], [0.000, 7.954, 0.000], [0.000, 0.000, 3.437]], "species": ["Zr", "Zr", "Zr", "Zr", "Zr", "Zr", "Zr", "Zr", "As", "As"], "frac_coords": [[0.079, 0.284, 0.000], [0.216, 0.579, 0.500], [0.284, 0.921, 0.000], [0.421, 0.216, 0.500], [0.579, 0.784, 0.500], [0.716, 0.079, 0.000], [0.784, 0.421, 0.500], [0.921, 0.716, 0.000], [0.000, 0.000, 0.500], [0.500, 0.500, 0.000]]}

***

Record 4
{"formula": "Tb6PrEr5", "functional": "PBE", "state": "optimized geometry", "sg": "No. 65", "e_tot_ev_per_atom": -4.5942, "e_form_mev_per_atom": 20, "lattice_angstrom": [[2.507, -7.534, 0.000], [2.507, 7.534, 0.000], [0.000, 0.000, 10.047]], "species": ["Tb", "Tb", "Tb", "Tb", "Tb", "Tb", "Pr", "Er", "Er", "Er", "Er", "Er"], "frac_coords": [[0.000, 0.000, 0.247], [0.000, 0.000, 0.753], [0.333, 0.667, 0.248], [0.333, 0.667, 0.752], [0.667, 0.333, 0.248], [0.667, 0.333, 0.752], [0.500, 0.500, 0.500], [0.167, 0.833, 0.000], [0.168, 0.832, 0.500], [0.500, 0.500, 0.000], [0.832, 0.168, 0.500], [0.833, 0.167, 0.000]]}

***

Record 5
{"formula": "Tb12Ho3Cd", "functional": "PBE", "state": "optimized geometry", "sg": "No. 123", "e_tot_ev_per_atom": -4.3941, "e_form_mev_per_atom": -6, "lattice_angstrom": [[4.970, 0.000, 0.000], [0.000, 4.970, 0.000], [0.000, 0.000, 20.091]], "species": ["Tb", "Tb", "Tb", "Tb", "Tb", "Tb", "Tb", "Tb", "Tb", "Tb", "Tb", "Tb", "Ho", "Ho", "Ho", "Cd"], "frac_coords": [[0.000, 0.000, 0.000], [0.000, 0.000, 0.245], [0.000, 0.000, 0.500], [0.000, 0.000, 0.755], [0.000, 0.500, 0.122], [0.000, 0.500, 0.374], [0.000, 0.500, 0.626], [0.000, 0.500, 0.878], [0.500, 0.000, 0.122], [0.500, 0.000, 0.374], [0.500, 0.000, 0.626], [0.500, 0.000, 0.878], [0.500, 0.500, 0.248], [0.500, 0.500, 0.500], [0.500, 0.500, 0.752], [0.500, 0.500, 0.000]]}

***

Record 6
{"formula": "UPa2Nb", "functional": "PBE", "state": "optimized geometry", "sg": "No. 123", "e_tot_ev_per_atom": -9.9276, "e_form_mev_per_atom": 160, "polymorph_energy_ev_per_fu": 0.04, "lattice_angstrom": [[3.557, 0.000, 0.000], [0.000, 3.557, 0.000], [0.000, 0.000, 6.951]], "species": ["U", "Pa", "Pa", "Nb"], "frac_coords": [[0.000, 0.000, 0.000], [0.500, 0.500, 0.249], [0.500, 0.500, 0.751], [0.000, 0.000, 0.500]]}

***

Record 7
{"formula": "Ba2SbRhI", "functional": "PBE", "state": "optimized geometry", "sg": "No. 123", "e_tot_ev_per_atom": -4.2849, "formation_energy_uncorrected_ev_per_atom": -0.911, "lattice_angstrom": [[6.276, 0.000, 0.000], [0.000, 6.276, 0.000], [0.000, 0.000, 4.961]], "species": ["Ba", "Ba", "Sb", "Rh", "I"], "frac_coords": [[0.000, 0.500, 0.000], [0.500, 0.000, 0.000], [0.000, 0.000, 0.500], [0.000, 0.000, 0.000], [0.500, 0.500, 0.500]]}

***

Record 8
{"formula": "Er4C2I5", "functional": "PBE", "state": "optimized geometry", "sg": "No. 12", "e_tot_ev_per_atom": -5.0404, "formation_energy_uncorrected_ev_per_atom": -0.999, "lattice_angstrom": [[9.853, -1.940, 0.000], [9.853, 1.940, 0.000], [-1.861, 0.000, 8.282]], "species": ["Er", "Er", "Er", "Er", "C", "C", "I", "I", "I", "I", "I"], "frac_coords": [[0.001, 0.001, 0.184], [0.352, 0.352, 0.923], [0.648, 0.648, 0.077], [0.999, 0.999, 0.816], [0.463, 0.463, 0.983], [0.537, 0.537, 0.017], [0.161, 0.161, 0.352], [0.170, 0.170, 0.816], [0.500, 0.500, 0.500], [0.830, 0.830, 0.184], [0.839, 0.839, 0.648]]}

***

Record 9
{"formula": "ZnCoIr2", "functional": "PBE", "state": "optimized geometry", "sg": "No. 119", "e_tot_ev_per_atom": -6.5367, "e_form_mev_per_atom": -11, "lattice_angstrom": [[3.750, 0.000, 0.000], [0.000, 3.750, 0.000], [0.000, 0.000, 7.580]], "species": ["Zn", "Zn", "Co", "Co", "Ir", "Ir", "Ir", "Ir"], "frac_coords": [[0.000, 0.000, 0.000], [0.500, 0.500, 0.500], [0.000, 0.500, 0.750], [0.500, 0.000, 0.250], [0.000, 0.000, 0.500], [0.000, 0.500, 0.250], [0.500, 0.000, 0.750], [0.500, 0.500, 0.000]]}

***

Record 10
{"formula": "Mn3P2", "functional": "PBE", "state": "optimized geometry", "sg": "No. 43", "e_tot_ev_per_atom": -7.9680, "e_form_mev_per_atom": -302, "lattice_angstrom": [[0.000, 5.267, 2.199], [5.051, 0.000, 2.199], [5.051, 5.267, 0.000]], "species": ["Mn", "Mn", "Mn", "Mn", "Mn", "Mn", "P", "P", "P", "P"], "frac_coords": [[0.000, 0.000, 0.000], [0.250, 0.250, 0.250], [0.309, 0.702, 0.479], [0.702, 0.309, 0.510], [0.740, 0.771, 0.548], [0.771, 0.740, 0.941], [0.093, 0.386, 0.002], [0.248, 0.731, 0.157], [0.386, 0.093, 0.519], [0.731, 0.248, 0.864]]}

***

Record 11
{"formula": "SmYSn", "functional": "PBE", "state": "optimized geometry", "sg": "No. 107", "e_tot_ev_per_atom": -5.5115, "e_form_mev_per_atom": -449, "polymorph_energy_ev_per_fu": 0.45, "lattice_angstrom": [[4.118, 0.000, 0.000], [0.000, 4.118, 0.000], [0.000, 0.000, 10.062]], "species": ["Sm", "Sm", "Y", "Y", "Sn", "Sn"], "frac_coords": [[0.000, 0.000, 0.000], [0.500, 0.500, 0.500], [0.000, 0.000, 0.687], [0.500, 0.500, 0.187], [0.000, 0.000, 0.340], [0.500, 0.500, 0.840]]}

***

Record 12
{"formula": "CaAcTlPb", "functional": "PBE", "state": "optimized geometry", "sg": "No. 47", "e_tot_ev_per_atom": -3.4962, "e_form_mev_per_atom": -450, "lattice_angstrom": [[4.638, 0.000, 0.000], [0.000, 5.322, 0.000], [0.000, 0.000, 5.369]], "species": ["Ca", "Ac", "Tl", "Pb"], "frac_coords": [[0.000, 0.000, 0.000], [0.000, 0.500, 0.500], [0.500, 0.500, 0.000], [0.500, 0.000, 0.500]]}

***

Record 13
{"formula": "NdTa2MoC4", "functional": "PBE", "state": "optimized geometry", "sg": "No. 63", "e_tot_ev_per_atom": -9.7305, "e_form_mev_per_atom": -206, "lattice_angstrom": [[1.634, -5.791, 0.000], [1.634, 5.791, 0.000], [0.000, 0.000, 11.361]], "species": ["Nd", "Nd", "Ta", "Ta", "Ta", "Ta", "Mo", "Mo", "C", "C", "C", "C", "C", "C", "C", "C"], "frac_coords": [[0.103, 0.897, 0.750], [0.897, 0.103, 0.250], [0.373, 0.627, 0.536], [0.373, 0.627, 0.964], [0.627, 0.373, 0.036], [0.627, 0.373, 0.464], [0.163, 0.837, 0.250], [0.837, 0.163, 0.750], [0.000, 0.000, 0.000], [0.000, 0.000, 0.500], [0.263, 0.737, 0.109], [0.263, 0.737, 0.391], [0.439, 0.561, 0.750], [0.561, 0.439, 0.250], [0.737, 0.263, 0.609], [0.737, 0.263, 0.891]]}

***

Record 14
{"formula": "BeReAs2Br", "functional": "PBE", "state": "optimized geometry", "sg": "No. 123", "e_tot_ev_per_atom": -4.2101, "formation_energy_uncorrected_ev_per_atom": 1.219, "polymorph_energy_ev_per_fu": 1.36, "lattice_angstrom": [[4.426, 0.000, 0.000], [0.000, 4.426, 0.000], [0.000, 0.000, 4.713]], "species": ["Be", "Re", "As", "As", "Br"], "frac_coords": [[0.000, 0.000, 0.000], [0.500, 0.500, 0.500], [0.000, 0.500, 0.000], [0.500, 0.000, 0.000], [0.000, 0.000, 0.500]]}

***

Record 15
{"formula": "Tl2ZnMo", "functional": "PBE", "state": "optimized geometry", "sg": "No. 122", "e_tot_ev_per_atom": -3.3556, "e_form_mev_per_atom": 854, "polymorph_energy_ev_per_fu": 1.52, "lattice_angstrom": [[7.606, 0.000, 0.000], [0.000, 7.606, 0.000], [0.000, 0.000, 5.908]], "species": ["Tl", "Tl", "Tl", "Tl", "Tl", "Tl", "Tl", "Tl", "Zn", "Zn", "Zn", "Zn", "Mo", "Mo", "Mo", "Mo"], "frac_coords": [[0.237, 0.250, 0.125], [0.250, 0.737, 0.375], [0.250, 0.763, 0.875], [0.263, 0.250, 0.625], [0.737, 0.750, 0.625], [0.750, 0.237, 0.875], [0.750, 0.263, 0.375], [0.763, 0.750, 0.125], [0.000, 0.000, 0.000], [0.000, 0.500, 0.250], [0.500, 0.000, 0.750], [0.500, 0.500, 0.500], [0.000, 0.000, 0.500], [0.000, 0.500, 0.750], [0.500, 0.000, 0.250], [0.500, 0.500, 0.000]]}

***

Record 16
{"formula": "La2CoOsC", "functional": "PBE", "state": "optimized geometry", "sg": "No. 123", "e_tot_ev_per_atom": -7.4620, "e_form_mev_per_atom": 21, "lattice_angstrom": [[5.274, 0.000, 0.000], [0.000, 5.274, 0.000], [0.000, 0.000, 3.882]], "species": ["La", "La", "Co", "Os", "C"], "frac_coords": [[0.000, 0.500, 0.000], [0.500, 0.000, 0.000], [0.000, 0.000, 0.500], [0.500, 0.500, 0.500], [0.500, 0.500, 0.000]]}

***

Record 17
{"formula": "HoSiAg2S4", "functional": "PBE", "state": "optimized geometry", "sg": "No. 74", "e_tot_ev_per_atom": -4.6987, "formation_energy_uncorrected_ev_per_atom": -0.672, "lattice_angstrom": [[-3.641, 3.910, 5.497], [3.641, -3.910, 5.497], [3.641, 3.910, -5.497]], "species": ["Ho", "Ho", "Si", "Si", "Ag", "Ag", "Ag", "Ag", "S", "S", "S", "S", "S", "S", "S", "S"], "frac_coords": [[0.000, 0.000, 0.000], [0.500, 0.000, 0.500], [0.500, 0.000, 0.000], [0.500, 0.500, 0.500], [0.000, 0.000, 0.500], [0.000, 0.500, 0.000], [0.000, 0.500, 0.500], [0.500, 0.500, 0.000], [0.276, 0.247, 0.029], [0.278, 0.279, 0.501], [0.278, 0.776, 0.999], [0.282, 0.753, 0.529], [0.718, 0.247, 0.471], [0.722, 0.224, 0.001], [0.722, 0.721, 0.499], [0.724, 0.753, 0.971]]}

***

Record 18
{"formula": "Ce3DySb4", "functional": "PBE", "state": "optimized geometry", "sg": "No. 221", "e_tot_ev_per_atom": -5.9195, "formation_energy_uncorrected_ev_per_atom": -1.058, "polymorph_energy_ev_per_fu": 0.03, "lattice_angstrom": [[6.326, 0.000, 0.000], [0.000, 6.326, 0.000], [0.000, 0.000, 6.326]], "species": ["Ce", "Ce", "Ce", "Dy", "Sb", "Sb", "Sb", "Sb"], "frac_coords": [[0.000, 0.000, 0.500], [0.000, 0.500, 0.000], [0.500, 0.000, 0.000], [0.500, 0.500, 0.500], [0.000, 0.000, 0.000], [0.000, 0.500, 0.500], [0.500, 0.000, 0.500], [0.500, 0.500, 0.000]]}

***

Record 19
{"formula": "MgZnC", "functional": "PBE", "state": "optimized geometry", "sg": "No. 1", "e_tot_ev_per_atom": -3.6709, "e_form_mev_per_atom": 360, "lattice_angstrom": [[3.073, 0.000, 0.000], [-0.001, 4.408, 0.000], [-0.008, -1.844, 7.340]], "species": ["Mg", "Mg", "Zn", "Zn", "C", "C"], "frac_coords": [[0.000, 0.000, 0.000], [0.001, 0.631, 0.308], [0.003, 0.248, 0.586], [0.503, 0.776, 0.643], [0.500, 0.389, 0.087], [0.500, 0.679, 0.084]]}

***

Record 20
{"formula": "Mn3CoB", "functional": "PBE", "state": "optimized geometry", "sg": "No. 221", "e_tot_ev_per_atom": -6.6534, "e_form_mev_per_atom": 1605, "lattice_angstrom": [[4.299, 0.000, 0.000], [0.000, 4.299, 0.000], [0.000, 0.000, 4.299]], "species": ["Mn", "Mn", "Mn", "Co", "B"], "frac_coords": [[0.000, 0.000, 0.500], [0.000, 0.500, 0.000], [0.500, 0.000, 0.000], [0.000, 0.000, 0.000], [0.500, 0.500, 0.500]]}

***

Record 21
{"formula": "SrY2Rh", "functional": "PBE", "state": "optimized geometry", "sg": "No. 119", "e_tot_ev_per_atom": -5.3756, "e_form_mev_per_atom": 115, "polymorph_energy_ev_per_fu": 1.85, "lattice_angstrom": [[4.476, 0.000, 0.000], [0.000, 4.476, 0.000], [0.000, 0.000, 10.735]], "species": ["Sr", "Sr", "Y", "Y", "Y", "Y", "Rh", "Rh"], "frac_coords": [[0.000, 0.000, 0.000], [0.500, 0.500, 0.500], [0.000, 0.000, 0.500], [0.000, 0.500, 0.750], [0.500, 0.000, 0.250], [0.500, 0.500, 0.000], [0.000, 0.500, 0.250], [0.500, 0.000, 0.750]]}

***

Record 22
{"formula": "SrLiRe2", "functional": "PBE", "state": "optimized geometry", "sg": "No. 166", "e_tot_ev_per_atom": -6.0890, "e_form_mev_per_atom": 1034, "polymorph_energy_ev_per_fu": 2.37, "lattice_angstrom": [[2.808, 0.000, 0.000], [-1.404, 2.432, 0.000], [0.000, 0.000, 31.097]], "species": ["Sr", "Sr", "Sr", "Li", "Li", "Li", "Re", "Re", "Re", "Re", "Re", "Re"], "frac_coords": [[0.000, 0.000, 0.000], [0.333, 0.667, 0.667], [0.667, 0.333, 0.333], [0.000, 0.000, 0.500], [0.333, 0.667, 0.167], [0.667, 0.333, 0.833], [0.000, 0.000, 0.242], [0.000, 0.000, 0.758], [0.333, 0.667, 0.424], [0.333, 0.667, 0.909], [0.667, 0.333, 0.091], [0.667, 0.333, 0.576]]}